(1)
This record from the Alexandria database describes a relaxed Pm3Sc2PaP6 crystal. The functional is GGA-PBE.

Calculated values
- Fermi-level density of states: 3.33 states/eV/cell
- Crystal system: monoclinic
- E_form: -1.494 eV per atom
- Total magnetization: 0.0 μB per cell

Cell lengths 6.880, 6.880, 6.931 Å; angles 99.51, 99.51, 120.02 degrees
Sites, in units of the cell vectors:
Pm  0.166  0.834  0.500
Pm  0.834  0.166  0.500
Pm  0.500  0.500  0.500
Sc  0.333  0.667  0.000
Sc  0.667  0.333  0.000
Pa  0.000  0.000  0.000
P  0.923  0.587  0.770
P  0.740  0.740  0.228
P  0.077  0.413  0.230
P  0.587  0.923  0.770
P  0.260  0.260  0.772
P  0.413  0.077  0.230

---

(2)
This record from the Alexandria database describes a relaxed Nd3NpPt8 crystal. The functional is GGA-PBE.

Calculated values
- Fermi-level density of states: 16.49 states/eV/cell
- Crystal system: trigonal
- E_form: -0.929 eV per atom
- Total magnetization: 4.2 μB per cell

Cell lengths 5.499, 5.499, 9.528 Å; angles 73.23, 73.23, 60.00 degrees
Sites, in units of the cell vectors:
Nd  0.376  0.376  0.873
Nd  0.999  0.999  0.004
Nd  0.501  0.501  0.496
Np  0.874  0.874  0.377
Pt  0.937  0.437  0.189
Pt  0.439  0.938  0.686
Pt  0.437  0.437  0.189
Pt  0.938  0.938  0.686
Pt  0.188  0.188  0.437
Pt  0.688  0.688  0.937
Pt  0.437  0.937  0.189
Pt  0.938  0.439  0.686